Y2Al2V | PBE | optimized geometry

Output
Formation energy   -0.1291 eV/atom
N(E_F)   1.002 states/eV/atom
Magnetization   3.3 μB per formula unit
Uncorrected energy   -6.04 eV/atom

The structure in POSCAR format:
```
Y2Al2V
1.0
7.311 0.000 0.000
0.000 7.311 0.000
0.000 0.000 4.345
Y Al V
4 4 2
Direct
0.175 0.325 0.000
0.325 0.825 0.000
0.675 0.175 0.000
0.825 0.675 0.000
0.127 0.627 0.500
0.373 0.127 0.500
0.627 0.873 0.500
0.873 0.373 0.500
0.000 0.000 0.500
0.500 0.500 0.500
```